Entry 1:
Compound: Mg8NiAg2
Source: the Alexandria database
Functional: PBE
Structure: optimized geometry

Values from the calculation:
**DOS at the Fermi energy**: 6.0 states/eV per cell
**Energy above the most stable polymorph in this dataset**: 12 meV/atom
**Density**: 3.60 g/cm3
**Crystal system**: orthorhombic
**Energy relative to the elements**: -99 meV per atom

Cell and atoms, written as CIF:
```
data_Mg8NiAg2
_symmetry_space_group_name_H-M 'I m m m'
_symmetry_Int_Tables_number 71
_symmetry_space_group_name_Hall '-I 2 2'
_cell_length_a 4.568
_cell_length_b 7.732
_cell_length_c 12.238
_cell_angle_alpha 90.00
_cell_angle_beta 90.00
_cell_angle_gamma 90.00
loop_
_atom_site_label
_atom_site_fract_x
_atom_site_fract_y
_atom_site_fract_z
Mg1 0.000 0.000 0.135
Mg2 0.000 0.223 0.348
Mg3 0.000 0.310 0.000
Ni1 0.000 0.500 0.500
Ag1 0.000 0.500 0.199
```

---

Entry 2:
Compound: ScFeHg
Source: the Alexandria database
Functional: PBE
Structure: optimized geometry

Values from the calculation:
**DOS at the Fermi energy**: 27.7 states/eV per cell
**Density**: 8.11 g/cm3
**Crystal system**: cubic
**Energy relative to the elements**: 274 meV per atom

Cell and atoms, written as CIF:
```
data_ScFeHg
_symmetry_space_group_name_H-M 'F -4 3 m'
_symmetry_Int_Tables_number 216
_symmetry_space_group_name_Hall 'F -4 2 3'
_cell_length_a 6.273
_cell_length_b 6.273
_cell_length_c 6.273
_cell_angle_alpha 90.00
_cell_angle_beta 90.00
_cell_angle_gamma 90.00
loop_
_atom_site_label
_atom_site_fract_x
_atom_site_fract_y
_atom_site_fract_z
Sc1 0.000 0.000 0.000
Fe1 0.250 0.250 0.750
Hg1 0.000 0.000 0.500
```

---

Entry 3:
Compound: NdCd6Pd4
Source: the Alexandria database
Functional: PBE
Structure: optimized geometry

Values from the calculation:
**DOS at the Fermi energy**: 4.0 states/eV per cell
**Density**: 9.00 g/cm3
**Crystal system**: hexagonal
**Energy relative to the elements**: -355 meV per atom

Cell and atoms, written as CIF:
```
data_NdCd6Pd4
_symmetry_space_group_name_H-M 'P -6 m 2'
_symmetry_Int_Tables_number 187
_symmetry_space_group_name_Hall 'P -6 2'
_cell_length_a 7.8285
_cell_length_b 7.8285
_cell_length_c 4.3273
_cell_angle_alpha 90.00
_cell_angle_beta 90.00
_cell_angle_gamma 120.00
loop_
_atom_site_label
_atom_site_fract_x
_atom_site_fract_y
_atom_site_fract_z
Nd1 0.0000 0.0000 0.0000
Cd1 0.1975 0.3950 0.5000
Cd2 0.5348 0.0695 0.0000
Pd1 0.3333 0.6667 0.0000
Pd2 0.4059 0.2029 0.5000
```

---

Entry 4:
Compound: LaCd2AsO
Source: the Alexandria database
Functional: PBE
Structure: optimized geometry

Values from the calculation:
**DOS at the Fermi energy**: 4.6 states/eV per cell
**Density**: 4.43 g/cm3
**Energy relative to the elements, uncorrected**: -0.25 eV/atom
**Crystal system**: tetragonal

Cell and atoms, written as CIF:
```
data_LaCd2AsO
_symmetry_space_group_name_H-M 'P 4/m m m'
_symmetry_Int_Tables_number 123
_symmetry_space_group_name_Hall '-P 4 2'
_cell_length_a 6.369
_cell_length_b 6.369
_cell_length_c 4.204
_cell_angle_alpha 90.00
_cell_angle_beta 90.00
_cell_angle_gamma 90.00
loop_
_atom_site_label
_atom_site_fract_x
_atom_site_fract_y
_atom_site_fract_z
La1 0.000 0.000 0.000
Cd1 0.000 0.500 0.000
As1 0.500 0.500 0.500
O1 0.000 0.000 0.500
```

---

Entry 5:
Compound: La3Y
Source: the Alexandria database
Functional: PBE
Structure: optimized geometry

Values from the calculation:
**DOS at the Fermi energy**: 13.8 states/eV per cell
**Density**: 5.79 g/cm3
**Crystal system**: hexagonal
**Energy relative to the elements**: 32 meV per atom

Cell and atoms, written as CIF:
```
data_La3Y
_symmetry_space_group_name_H-M 'P 63/m m c'
_symmetry_Int_Tables_number 194
_symmetry_space_group_name_Hall '-P 6c 2c'
_cell_length_a 7.4814
_cell_length_b 7.4814
_cell_length_c 5.9877
_cell_angle_alpha 90.00
_cell_angle_beta 90.00
_cell_angle_gamma 120.00
loop_
_atom_site_label
_atom_site_fract_x
_atom_site_fract_y
_atom_site_fract_z
La1 0.1683 0.3366 0.2500
Y1 0.3333 0.6667 0.7500
```

---

Entry 6:
Compound: BaIn3Co
Source: the Alexandria database
Functional: PBE
Structure: optimized geometry

Values from the calculation:
**DOS at the Fermi energy**: 1.3 states/eV per cell
**Density**: 6.86 g/cm3
**Crystal system**: cubic
**Energy relative to the elements**: -236 meV per atom

Cell and atoms, written as CIF:
```
data_BaIn3Co
_symmetry_space_group_name_H-M 'P m -3 m'
_symmetry_Int_Tables_number 221
_symmetry_space_group_name_Hall '-P 4 2 3'
_cell_length_a 5.076
_cell_length_b 5.076
_cell_length_c 5.076
_cell_angle_alpha 90.00
_cell_angle_beta 90.00
_cell_angle_gamma 90.00
loop_
_atom_site_label
_atom_site_fract_x
_atom_site_fract_y
_atom_site_fract_z
Ba1 0.000 0.000 0.000
In1 0.000 0.500 0.500
Co1 0.500 0.500 0.500
```

---

Entry 7:
Compound: CoPdPt2
Source: the Alexandria database
Functional: PBE
Structure: optimized geometry

Values from the calculation:
**DOS at the Fermi energy**: 15.3 states/eV per cell
**Density**: 15.78 g/cm3
**Crystal system**: trigonal
**Energy relative to the elements**: -68 meV per atom

Cell and atoms, written as CIF:
```
data_CoPdPt2
_symmetry_space_group_name_H-M 'R -3 m'
_symmetry_Int_Tables_number 166
_symmetry_space_group_name_Hall '-R 3 2"'
_cell_length_a 2.7522
_cell_length_b 2.7522
_cell_length_c 26.7399
_cell_angle_alpha 90.00
_cell_angle_beta 90.00
_cell_angle_gamma 120.00
loop_
_atom_site_label
_atom_site_fract_x
_atom_site_fract_y
_atom_site_fract_z
Co1 0.0000 0.0000 0.0000
Pd1 0.0000 0.0000 0.5000
Pt1 0.0000 0.0000 0.2553
```

---

Entry 8:
Compound: LaBiN2
Source: the Alexandria database
Functional: PBE
Structure: optimized geometry

Values from the calculation:
**DOS at the Fermi energy**: 0.0 states/eV per cell
**Density**: 7.13 g/cm3
**Energy relative to the elements, uncorrected**: -0.22 eV/atom
**Crystal system**: tetragonal

Cell and atoms, written as CIF:
```
data_LaBiN2
_symmetry_space_group_name_H-M 'I -4 2 d'
_symmetry_Int_Tables_number 122
_symmetry_space_group_name_Hall 'I -4 2bw'
_cell_length_a 5.495
_cell_length_b 5.495
_cell_length_c 11.590
_cell_angle_alpha 90.00
_cell_angle_beta 90.00
_cell_angle_gamma 90.00
loop_
_atom_site_label
_atom_site_fract_x
_atom_site_fract_y
_atom_site_fract_z
La1 0.000 0.000 0.000
Bi1 0.000 0.000 0.500
N1 0.250 0.250 0.125
```

---

Entry 9:
Compound: Ta7Rh
Source: the Alexandria database
Functional: PBE
Structure: optimized geometry

Values from the calculation:
**DOS at the Fermi energy**: 49.5 states/eV per cell
**Density**: 15.69 g/cm3
**Crystal system**: cubic
**Energy relative to the elements**: 125 meV per atom

Cell and atoms, written as CIF:
```
data_Ta7Rh
_symmetry_space_group_name_H-M 'F m -3 m'
_symmetry_Int_Tables_number 225
_symmetry_space_group_name_Hall '-F 4 2 3'
_cell_length_a 8.338
_cell_length_b 8.338
_cell_length_c 8.338
_cell_angle_alpha 90.00
_cell_angle_beta 90.00
_cell_angle_gamma 90.00
loop_
_atom_site_label
_atom_site_fract_x
_atom_site_fract_y
_atom_site_fract_z
Ta1 0.000 0.000 0.000
Ta2 0.000 0.250 0.250
Rh1 0.000 0.000 0.500
```

---

Entry 10:
Compound: Hg2IrSeI
Source: the Alexandria database
Functional: PBE
Structure: optimized geometry

Values from the calculation:
**DOS at the Fermi energy**: 2.4 states/eV per cell
**Density**: 9.48 g/cm3
**Energy relative to the elements, uncorrected**: 0.12 eV/atom
**Crystal system**: tetragonal

Cell and atoms, written as CIF:
```
data_Hg2IrSeI
_symmetry_space_group_name_H-M 'P 4/m m m'
_symmetry_Int_Tables_number 123
_symmetry_space_group_name_Hall '-P 4 2'
_cell_length_a 5.543
_cell_length_b 5.543
_cell_length_c 4.556
_cell_angle_alpha 90.00
_cell_angle_beta 90.00
_cell_angle_gamma 90.00
loop_
_atom_site_label
_atom_site_fract_x
_atom_site_fract_y
_atom_site_fract_z
Hg1 0.000 0.500 0.000
Ir1 0.000 0.000 0.000
Se1 0.000 0.000 0.500
I1 0.500 0.500 0.500
```